Below is a relaxed V6TcOs5 crystal, with properties calculated at the PBE level.

Cell and atoms, written as CIF:
```
data_V6TcOs5
_chemical_formula_sum 'V6 Tc1 Os5'
_space_group_name_H-M_alt 'P 1'
_space_group_IT_number 1
_cell_length_a 6.7692
_cell_length_b 6.7692
_cell_length_c 6.0252
_cell_angle_alpha 90.00
_cell_angle_beta 90.00
_cell_angle_gamma 143.16
loop_
_space_group_symop_operation_xyz
'x,y,z'
loop_
_atom_site_label
_atom_site_type_symbol
_atom_site_fract_x
_atom_site_fract_y
_atom_site_fract_z
_atom_site_occupancy
V1 V 0.0000 0.0000 0.2472 1
V2 V 0.0000 0.0000 0.7528 1
V3 V 0.3351 0.6649 0.2478 1
V4 V 0.3351 0.6649 0.7522 1
V5 V 0.6649 0.3351 0.2478 1
V6 V 0.6649 0.3351 0.7522 1
Tc1 Tc 0.5000 0.5000 0.0000 1
Os1 Os 0.1676 0.8324 0.0000 1
Os2 Os 0.1677 0.8323 0.5000 1
Os3 Os 0.5000 0.5000 0.5000 1
Os4 Os 0.8324 0.1676 0.0000 1
Os5 Os 0.8323 0.1677 0.5000 1
```

Results
DOS(E_F) = 14.5 states/eV/f.u.
energy relative to the elements = -3.26 eV/f.u.
DFT total energy = -10.374 eV/atom

Below is a relaxed V2TcOs crystal, with properties calculated at the PBE level.

Cell and atoms, written as CIF:
```
data_V2TcOs
_chemical_formula_sum 'V8 Tc4 Os4'
_space_group_name_H-M_alt 'P 1'
_space_group_IT_number 1
_cell_length_a 6.0472
_cell_length_b 6.0472
_cell_length_c 6.0472
_cell_angle_alpha 90.00
_cell_angle_beta 90.00
_cell_angle_gamma 90.00
loop_
_space_group_symop_operation_xyz
'x,y,z'
loop_
_atom_site_label
_atom_site_type_symbol
_atom_site_fract_x
_atom_site_fract_y
_atom_site_fract_z
_atom_site_occupancy
V1 V 0.2500 0.2500 0.2500 1
V2 V 0.2500 0.2500 0.7500 1
V3 V 0.2500 0.7500 0.2500 1
V4 V 0.2500 0.7500 0.7500 1
V5 V 0.7500 0.2500 0.2500 1
V6 V 0.7500 0.2500 0.7500 1
V7 V 0.7500 0.7500 0.2500 1
V8 V 0.7500 0.7500 0.7500 1
Tc1 Tc 0.0000 0.0000 0.0000 1
Tc2 Tc 0.0000 0.5000 0.5000 1
Tc3 Tc 0.5000 0.0000 0.5000 1
Tc4 Tc 0.5000 0.5000 0.0000 1
Os1 Os 0.0000 0.0000 0.5000 1
Os2 Os 0.0000 0.5000 0.0000 1
Os3 Os 0.5000 0.0000 0.0000 1
Os4 Os 0.5000 0.5000 0.5000 1
```

Results
polymorph energy (0 for the lowest one) = 0.000 eV/atom
DOS(E_F) = 3.8 states/eV/f.u.
energy relative to the elements = -1.36 eV/f.u.
DFT total energy = -10.299 eV/atom

Below is a relaxed V4Tc2Os crystal, with properties calculated at the PBE level.

Cell and atoms, written as CIF:
```
data_V4Tc2Os
_chemical_formula_sum 'V8 Tc4 Os2'
_space_group_name_H-M_alt 'P 1'
_space_group_IT_number 1
_cell_length_a 5.9470
_cell_length_b 5.9470
_cell_length_c 6.0055
_cell_angle_alpha 90.00
_cell_angle_beta 90.00
_cell_angle_gamma 90.00
loop_
_space_group_symop_operation_xyz
'x,y,z'
loop_
_atom_site_label
_atom_site_type_symbol
_atom_site_fract_x
_atom_site_fract_y
_atom_site_fract_z
_atom_site_occupancy
V1 V 0.2500 0.2500 0.2500 1
V2 V 0.2500 0.2500 0.7500 1
V3 V 0.2500 0.7500 0.2500 1
V4 V 0.2500 0.7500 0.7500 1
V5 V 0.7500 0.2500 0.2500 1
V6 V 0.7500 0.2500 0.7500 1
V7 V 0.7500 0.7500 0.2500 1
V8 V 0.7500 0.7500 0.7500 1
Tc1 Tc 0.0000 0.5000 0.0000 1
Tc2 Tc 0.0000 0.5000 0.5000 1
Tc3 Tc 0.5000 0.0000 0.0000 1
Tc4 Tc 0.5000 0.0000 0.5000 1
Os1 Os 0.0000 0.0000 0.0000 1
Os2 Os 0.5000 0.5000 0.5000 1
```

Results
polymorph energy (0 for the lowest one) = 0.000 eV/atom
DOS(E_F) = 4.9 states/eV/f.u.
energy relative to the elements = -0.04 eV/f.u.
DFT total energy = -9.782 eV/atom

Below is a relaxed V4Tc2Os crystal, with properties calculated at the PBE level.

Cell and atoms, written as CIF:
```
data_V4Tc2Os
_chemical_formula_sum 'V8 Tc4 Os2'
_space_group_name_H-M_alt 'P 1'
_space_group_IT_number 1
_cell_length_a 4.5359
_cell_length_b 4.5359
_cell_length_c 12.2545
_cell_angle_alpha 90.00
_cell_angle_beta 90.00
_cell_angle_gamma 90.00
loop_
_space_group_symop_operation_xyz
'x,y,z'
loop_
_atom_site_label
_atom_site_type_symbol
_atom_site_fract_x
_atom_site_fract_y
_atom_site_fract_z
_atom_site_occupancy
V1 V 0.0000 0.0000 0.1993 1
V2 V 0.0000 0.0000 0.8007 1
V3 V 0.0000 0.5000 0.0000 1
V4 V 0.0000 0.5000 0.5000 1
V5 V 0.5000 0.0000 0.0000 1
V6 V 0.5000 0.0000 0.5000 1
V7 V 0.5000 0.5000 0.3007 1
V8 V 0.5000 0.5000 0.6993 1
Tc1 Tc 0.0000 0.0000 0.3820 1
Tc2 Tc 0.0000 0.0000 0.6180 1
Tc3 Tc 0.5000 0.5000 0.1180 1
Tc4 Tc 0.5000 0.5000 0.8820 1
Os1 Os 0.0000 0.0000 0.0000 1
Os2 Os 0.5000 0.5000 0.5000 1
```

Results
polymorph energy (0 for the lowest one) = 1.066 eV/atom
DOS(E_F) = 10.5 states/eV/f.u.
energy relative to the elements = 7.43 eV/f.u.
DFT total energy = -8.715 eV/atom